Record 1
# NbTe3As

An optimized crystal structure of NbTe3As (PBE, Alexandria via LeMat-Bulk).

Summary:
M_tot = 0.383 μB/atom
energy relative to the elements, uncorrected = 0.501 eV/atom
DOS(E_F) = 5.2 states/eV/cell

a = 5.4041 Å, b = 5.4041 Å, c = 5.4041 Å
α = 90.00°, β = 90.00°, γ = 90.00°
Fractional coordinates of all 5 atoms:
Nb 0.0000 0.0000 0.0000
Te 0.0000 0.5000 0.0000
Te 0.0000 0.0000 0.5000
Te 0.5000 0.0000 0.0000
As 0.5000 0.5000 0.5000


Record 2
# NbTeAs

An optimized crystal structure of NbTeAs (PBE, Alexandria via LeMat-Bulk).

Summary:
M_tot = 0.000 μB/atom
energy relative to the elements, uncorrected = -0.173 eV/atom
DOS(E_F) = 3.1 states/eV/cell

a = 5.3696 Å, b = 7.0628 Å, c = 5.0645 Å
α = 69.05°, β = 90.03°, γ = 67.71°
Fractional coordinates of all 6 atoms:
Nb 0.5938 0.3144 0.3426
Nb 0.4062 0.6856 0.6574
Te 0.1615 0.1782 0.4110
Te 0.8385 0.8218 0.5890
As 0.3829 0.7319 0.1342
As 0.6171 0.2681 0.8658


Record 3
# Nb12TlTe15As

An optimized crystal structure of Nb12TlTe15As (PBE, Alexandria via LeMat-Bulk).

Summary:
M_tot = 0.000 μB/atom
energy relative to the elements, uncorrected = -0.468 eV/atom
DOS(E_F) = 14.4 states/eV/cell

a = 10.7293 Å, b = 10.7293 Å, c = 7.3149 Å
α = 90.00°, β = 90.00°, γ = 120.00°
Fractional coordinates of all 29 atoms:
Nb 0.4381 0.2845 0.0000
Nb 0.4359 0.2881 0.5000
Nb 0.7155 0.1537 0.0000
Nb 0.7119 0.1477 0.5000
Nb 0.8463 0.5619 0.0000
Nb 0.8523 0.5641 0.5000
Nb 0.2205 0.0553 0.7682
Nb 0.2205 0.0553 0.2318
Nb 0.9447 0.1653 0.7682
Nb 0.9447 0.1653 0.2318
Nb 0.8347 0.7795 0.7682
Nb 0.8347 0.7795 0.2318
Tl 0.3333 0.6667 0.0000
Te 0.3973 0.0070 0.0000
Te 0.3871 0.0089 0.5000
Te 0.9930 0.3904 0.0000
Te 0.9911 0.3782 0.5000
Te 0.6096 0.6027 0.0000
Te 0.6218 0.6129 0.5000
Te 0.2690 0.3369 0.7525
Te 0.2690 0.3369 0.2475
Te 0.6631 0.9322 0.7525
Te 0.6631 0.9322 0.2475
Te 0.0678 0.7310 0.7525
Te 0.0678 0.7310 0.2475
Te 0.0000 0.0000 0.5000
Te 0.6667 0.3333 0.7477
Te 0.6667 0.3333 0.2523
As 0.0000 0.0000 0.0000


Record 4
# NbZnTeAs2

An optimized crystal structure of NbZnTeAs2 (PBE, Alexandria via LeMat-Bulk).

Summary:
M_tot = 0.000 μB/atom
energy relative to the elements, uncorrected = 0.315 eV/atom
DOS(E_F) = 5.0 states/eV/cell

a = 4.9785 Å, b = 5.5363 Å, c = 4.9785 Å
α = 90.00°, β = 90.00°, γ = 90.00°
Fractional coordinates of all 5 atoms:
Zn 0.5000 0.5000 0.5000
Nb 0.0000 0.0000 0.0000
Te 0.0000 0.5000 0.0000
As 0.0000 0.0000 0.5000
As 0.5000 0.0000 0.0000


Record 5
# ThNbAs3

An optimized crystal structure of ThNbAs3 (PBE, Alexandria via LeMat-Bulk).

Summary:
M_tot = 0.000 μB/atom
DOS(E_F) = 12.4 states/eV/cell
energy of formation from the pure elements = -0.794 eV/atom

a = 5.8402 Å, b = 5.9532 Å, c = 12.5744 Å
α = 90.00°, β = 90.00°, γ = 90.00°
Fractional coordinates of all 20 atoms:
Th 0.7500 0.4951 0.6820
Th 0.2500 0.5049 0.3180
Th 0.7500 0.9951 0.3180
Th 0.2500 0.0049 0.6820
Nb 0.5000 0.2500 0.0775
Nb 0.0000 0.7500 0.9225
Nb 0.5000 0.7500 0.9225
Nb 0.0000 0.2500 0.0775
As 0.0000 0.2500 0.4988
As 0.5000 0.7500 0.5012
As 0.0000 0.7500 0.5012
As 0.5000 0.2500 0.4988
As 0.2500 0.1194 0.9150
As 0.7500 0.8806 0.0850
As 0.2500 0.6194 0.0850
As 0.7500 0.3806 0.9150
As 0.2500 0.5178 0.7693
As 0.7500 0.4822 0.2307
As 0.2500 0.0178 0.2307
As 0.7500 0.9822 0.7693


Record 6
# Th5Nb3As12

An optimized crystal structure of Th5Nb3As12 (PBE, Alexandria via LeMat-Bulk).

Summary:
M_tot = 0.147 μB/atom
DOS(E_F) = 69.5 states/eV/cell
energy of formation from the pure elements = -0.260 eV/atom

a = 14.1655 Å, b = 14.1655 Å, c = 14.1655 Å
α = 109.47°, β = 109.47°, γ = 109.47°
Fractional coordinates of all 80 atoms:
Nb 0.7500 0.3750 0.1250
Nb 0.8750 0.7500 0.1250
Nb 0.3750 0.7500 0.6250
Nb 0.2500 0.1250 0.3750
Nb 0.8750 0.1250 0.2500
Nb 0.3750 0.6250 0.2500
Nb 0.6250 0.3750 0.7500
Nb 0.1250 0.8750 0.7500
Nb 0.7500 0.8750 0.6250
Nb 0.6250 0.2500 0.3750
Nb 0.1250 0.2500 0.8750
Nb 0.2500 0.6250 0.8750
Th 0.1250 0.3750 0.2500
Th 0.0000 0.5000 0.0000
Th 0.0000 0.0000 0.0000
Th 0.3750 0.2500 0.1250
Th 0.5000 0.0000 0.5000
Th 0.5000 0.5000 0.0000
Th 0.1250 0.7500 0.3750
Th 0.7500 0.1250 0.8750
Th 0.7500 0.6250 0.3750
Th 0.3750 0.1250 0.7500
Th 0.6250 0.8750 0.2500
Th 0.5000 0.5000 0.5000
Th 0.5000 0.0000 0.0000
Th 0.0000 0.0000 0.5000
Th 0.2500 0.3750 0.6250
Th 0.2500 0.8750 0.1250
Th 0.0000 0.5000 0.5000
Th 0.8750 0.2500 0.6250
Th 0.6250 0.7500 0.8750
Th 0.8750 0.6250 0.7500
As 0.7500 0.1420 0.0773
As 0.3273 0.5773 0.4354
As 0.9227 0.3580 0.2500
As 0.5773 0.2500 0.1420
As 0.6081 0.7500 0.6727
As 0.9227 0.5646 0.1727
As 0.3273 0.7500 0.3919
As 0.0646 0.8919 0.1420
As 0.5646 0.9227 0.6727
As 0.7500 0.6081 0.1727
As 0.7500 0.4227 0.3580
As 0.8273 0.9354 0.0773
As 0.1420 0.7500 0.5773
As 0.3580 0.4354 0.1081
As 0.1081 0.9354 0.3580
As 0.3919 0.1420 0.5646
As 0.1081 0.1727 0.2500
As 0.4227 0.6727 0.0646
As 0.8273 0.8919 0.2500
As 0.1420 0.3919 0.0646
As 0.3580 0.9227 0.7500
As 0.5646 0.6420 0.3919
As 0.9354 0.8273 0.5773
As 0.7500 0.3273 0.8919
As 0.4354 0.3580 0.6081
As 0.0646 0.1727 0.4227
As 0.2500 0.6727 0.1081
As 0.1727 0.1081 0.7500
As 0.6420 0.0773 0.2500
As 0.8580 0.6081 0.9354
As 0.5773 0.3273 0.9354
As 0.6081 0.8580 0.4354
As 0.8919 0.8273 0.7500
As 0.8919 0.0646 0.6420
As 0.8580 0.2500 0.4227
As 0.1727 0.0646 0.9227
As 0.6420 0.5646 0.8919
As 0.4354 0.0773 0.3273
As 0.2500 0.3919 0.8273
As 0.2500 0.5773 0.6420
As 0.9354 0.1081 0.8580
As 0.6727 0.2500 0.6081
As 0.4227 0.7500 0.8580
As 0.0773 0.4354 0.8273
As 0.3919 0.2500 0.3273
As 0.0773 0.6420 0.7500
As 0.6727 0.4227 0.5646
As 0.2500 0.8580 0.9227


Record 7
# TiNbAs2

An optimized crystal structure of TiNbAs2 (PBE, Alexandria via LeMat-Bulk).

Summary:
M_tot = 0.009 μB/atom
DOS(E_F) = 14.4 states/eV/cell
energy of formation from the pure elements = -0.668 eV/atom

a = 3.4602 Å, b = 6.1330 Å, c = 13.1991 Å
α = 90.00°, β = 90.00°, γ = 90.00°
Fractional coordinates of all 16 atoms:
Ti 0.2500 0.5095 0.9079
Ti 0.7500 0.4905 0.0921
Ti 0.2500 0.0095 0.5921
Ti 0.7500 0.9905 0.4079
Nb 0.2500 0.4861 0.6637
Nb 0.7500 0.5139 0.3363
Nb 0.2500 0.9861 0.8363
Nb 0.7500 0.0139 0.1637
As 0.2500 0.6834 0.2041
As 0.7500 0.3166 0.7959
As 0.2500 0.1834 0.2959
As 0.7500 0.8166 0.7041
As 0.2500 0.6923 0.4689
As 0.7500 0.3077 0.5311
As 0.2500 0.1923 0.0311
As 0.7500 0.8077 0.9689


Record 8
# TiNbAs2

An optimized crystal structure of TiNbAs2 (PBE, Alexandria via LeMat-Bulk).

Summary:
M_tot = 0.000 μB/atom
DOS(E_F) = 12.2 states/eV/cell
energy of formation from the pure elements = 0.003 eV/atom

a = 5.7972 Å, b = 5.7972 Å, c = 7.0862 Å
α = 65.86°, β = 65.86°, γ = 90.00°
Fractional coordinates of all 8 atoms:
Nb 0.0000 0.0000 0.0000
Nb 0.7500 0.2500 0.5000
As 0.6207 0.1250 0.2500
As 0.1293 0.6250 0.2500
As 0.3750 0.3793 0.7500
As 0.8750 0.8707 0.7500
Ti 0.5000 0.5000 0.0000
Ti 0.2500 0.7500 0.5000


Record 9
# TiNb2As

An optimized crystal structure of TiNb2As (PBE, Alexandria via LeMat-Bulk).

Summary:
M_tot = 0.000 μB/atom
DOS(E_F) = 9.2 states/eV/cell
energy of formation from the pure elements = 0.138 eV/atom

a = 7.8363 Å, b = 7.8363 Å, c = 6.0814 Å
α = 49.89°, β = 49.89°, γ = 90.00°
Fractional coordinates of all 8 atoms:
Nb 0.6790 0.1250 0.2500
Nb 0.0710 0.6250 0.2500
Nb 0.3750 0.3210 0.7500
Nb 0.8750 0.9290 0.7500
As 0.0000 0.0000 0.0000
As 0.7500 0.2500 0.5000
Ti 0.5000 0.5000 0.0000
Ti 0.2500 0.7500 0.5000


Record 10
# TiNbAs2

An optimized crystal structure of TiNbAs2 (PBE, Alexandria via LeMat-Bulk).

Summary:
M_tot = 0.002 μB/atom
DOS(E_F) = 3.5 states/eV/cell
energy of formation from the pure elements = -0.694 eV/atom

a = 3.5912 Å, b = 3.5912 Å, c = 6.7100 Å
α = 74.48°, β = 74.48°, γ = 60.00°
Fractional coordinates of all 4 atoms:
Ti 0.6693 0.6693 0.9921
Nb 0.4975 0.4975 0.5074
As 0.0812 0.0812 0.7565
As 0.2520 0.2520 0.2440


Record 11
# TiNbAs2

An optimized crystal structure of TiNbAs2 (PBE, Alexandria via LeMat-Bulk).

Summary:
M_tot = 0.000 μB/atom
DOS(E_F) = 3.6 states/eV/cell
energy of formation from the pure elements = -0.738 eV/atom

a = 3.4582 Å, b = 3.4583 Å, c = 6.8053 Å
α = 90.00°, β = 90.00°, γ = 60.00°
Fractional coordinates of all 4 atoms:
Ti 0.6736 0.1065 0.4198
Nb 0.6736 0.1066 0.9198
As 0.3402 0.7732 0.6640
As 0.0069 0.4399 0.1756


Record 12
# Ti2NbAs3

An optimized crystal structure of Ti2NbAs3 (PBE, Alexandria via LeMat-Bulk).

Summary:
M_tot = 0.000 μB/atom
DOS(E_F) = 9.3 states/eV/cell
energy of formation from the pure elements = -0.729 eV/atom

a = 3.4948 Å, b = 6.1108 Å, c = 9.8770 Å
α = 90.00°, β = 90.00°, γ = 90.00°
Fractional coordinates of all 12 atoms:
Ti 0.0000 0.9922 0.2064
Ti 0.5000 0.0052 0.4719
Ti 0.0000 0.4922 0.7936
Ti 0.5000 0.5052 0.5281
Nb 0.0000 0.0158 0.8857
Nb 0.0000 0.5158 0.1143
As 0.5000 0.1871 0.0613
As 0.5000 0.2048 0.7132
As 0.0000 0.2962 0.3783
As 0.5000 0.6871 0.9387
As 0.5000 0.7048 0.2868
As 0.0000 0.7962 0.6217


Record 13
# TiNb2As

An optimized crystal structure of TiNb2As (PBE, Alexandria via LeMat-Bulk).

Summary:
M_tot = 0.000 μB/atom
DOS(E_F) = 6.6 states/eV/cell
energy of formation from the pure elements = -0.338 eV/atom

a = 4.6440 Å, b = 5.4062 Å, c = 5.4684 Å
α = 84.37°, β = 90.00°, γ = 90.00°
Fractional coordinates of all 8 atoms:
Ti 0.2500 0.4008 0.6829
Ti 0.7500 0.5992 0.3171
Nb 0.2500 0.8990 0.5973
Nb 0.7500 0.1010 0.4027
Nb 0.2500 0.8387 0.0894
Nb 0.7500 0.1613 0.9106
As 0.2500 0.3198 0.2048
As 0.7500 0.6802 0.7952


Record 14
# TiNb3As

An optimized crystal structure of TiNb3As (PBE, Alexandria via LeMat-Bulk).

Summary:
M_tot = 0.000 μB/atom
DOS(E_F) = 5.1 states/eV/cell
energy of formation from the pure elements = 1.155 eV/atom

a = 4.7037 Å, b = 4.7037 Å, c = 4.7037 Å
α = 90.00°, β = 90.00°, γ = 90.00°
Fractional coordinates of all 5 atoms:
Nb 0.0000 0.5000 0.0000
Nb 0.0000 0.0000 0.5000
Nb 0.5000 0.0000 0.0000
As 0.5000 0.5000 0.5000
Ti 0.0000 0.0000 0.0000


Record 15
# Ti4Nb2As

An optimized crystal structure of Ti4Nb2As (PBE, Alexandria via LeMat-Bulk).

Summary:
M_tot = 0.121 μB/atom
DOS(E_F) = 7.4 states/eV/cell
energy of formation from the pure elements = 0.558 eV/atom

a = 4.6734 Å, b = 4.6734 Å, c = 7.2506 Å
α = 71.20°, β = 71.20°, γ = 90.00°
Fractional coordinates of all 7 atoms:
Nb 0.3842 0.3842 0.2316
Nb 0.6158 0.6158 0.7684
As 0.0000 0.0000 0.0000
Ti 0.1930 0.1930 0.6140
Ti 0.8070 0.8070 0.3860
Ti 0.0000 0.5000 0.0000
Ti 0.5000 0.0000 0.0000


Record 16
# Ti5Nb5As6

An optimized crystal structure of Ti5Nb5As6 (PBE, Alexandria via LeMat-Bulk).

Summary:
M_tot = 0.000 μB/atom
DOS(E_F) = 11.7 states/eV/cell
energy of formation from the pure elements = -0.709 eV/atom

a = 5.2124 Å, b = 7.5814 Å, c = 7.5814 Å
α = 119.56°, β = 90.00°, γ = 90.00°
Fractional coordinates of all 16 atoms:
Ti 0.7528 0.3337 0.6685
Ti 0.7528 0.6685 0.3337
Ti 0.2472 0.6685 0.3337
Ti 0.2472 0.3337 0.6685
Ti 0.0000 0.2644 0.2644
Nb 0.0000 0.7378 0.0005
Nb 0.0000 0.0005 0.7378
Nb 0.5000 0.7663 0.7663
Nb 0.5000 0.2226 0.0024
Nb 0.5000 0.0024 0.2226
As 0.0000 0.6119 0.6119
As 0.0000 0.3838 0.0048
As 0.0000 0.0048 0.3838
As 0.5000 0.4021 0.4021
As 0.5000 0.5982 0.0007
As 0.5000 0.0007 0.5982


Record 17
# TiNb2As2

An optimized crystal structure of TiNb2As2 (PBE, Alexandria via LeMat-Bulk).

Summary:
M_tot = 0.000 μB/atom
DOS(E_F) = 7.4 states/eV/cell
energy of formation from the pure elements = -0.553 eV/atom

a = 6.9526 Å, b = 6.9526 Å, c = 3.4969 Å
α = 90.00°, β = 90.00°, γ = 90.00°
Fractional coordinates of all 10 atoms:
Nb 0.1500 0.6500 0.5000
Nb 0.6500 0.8500 0.5000
Nb 0.8500 0.3500 0.5000
Nb 0.3500 0.1500 0.5000
As 0.3506 0.8506 0.0000
As 0.8506 0.6494 0.0000
As 0.6494 0.1494 0.0000
As 0.1494 0.3506 0.0000
Ti 0.0000 0.0000 0.0000
Ti 0.5000 0.5000 0.0000


Record 18
# TiNb2As

An optimized crystal structure of TiNb2As (PBE, Alexandria via LeMat-Bulk).

Summary:
M_tot = 0.000 μB/atom
DOS(E_F) = 13.4 states/eV/cell
energy of formation from the pure elements = -0.519 eV/atom

a = 5.1706 Å, b = 7.7374 Å, c = 7.7374 Å
α = 83.59°, β = 70.48°, γ = 70.48°
Fractional coordinates of all 16 atoms:
Ti 0.2762 0.5267 0.9124
Ti 0.8114 0.9124 0.4733
Ti 0.1971 0.0876 0.5267
Ti 0.7153 0.4733 0.0876
Nb 0.5624 0.3186 0.5150
Nb 0.2465 0.1599 0.8689
Nb 0.9226 0.5150 0.6814
Nb 0.1190 0.4850 0.3186
Nb 0.2753 0.8401 0.1311
Nb 0.3960 0.6814 0.4850
Nb 0.8846 0.8689 0.8401
Nb 0.5935 0.1311 0.1599
As 0.7894 0.7621 0.1841
As 0.4485 0.8159 0.7621
As 0.7356 0.2379 0.8159
As 0.0265 0.1841 0.2379


Record 19
# TiNbAs2

An optimized crystal structure of TiNbAs2 (PBE, Alexandria via LeMat-Bulk).

Summary:
M_tot = 0.000 μB/atom
DOS(E_F) = 2.8 states/eV/cell
energy of formation from the pure elements = -0.532 eV/atom

a = 4.5343 Å, b = 4.5343 Å, c = 4.5343 Å
α = 60.00°, β = 60.00°, γ = 60.00°
Fractional coordinates of all 4 atoms:
Nb 0.5000 0.5000 0.5000
As 0.2500 0.2500 0.2500
As 0.7500 0.7500 0.7500
Ti 0.0000 0.0000 0.0000